<one>
Here is a relaxed K2Tl2Hg crystal from the Alexandria database. Energies are from GGA-PBE.

Cell: 6.8602 6.8602 12.6121 Å, 115.14 115.14 46.57°
With the nearest neighbours (Å) after each atom.
Sites, in units of the cell vectors:
K 0.0072 0.0072 0.3291  4 Hg 3.67-3.90, 7 Tl 3.71-3.99
K 0.2005 0.2005 0.1151  6 Tl 3.68-3.90, 2 Hg 3.91
K 0.7995 0.7995 0.8849  6 Tl 3.68-3.90, 2 Hg 3.91
K 0.9928 0.9928 0.6709  4 Hg 3.67-3.90, 7 Tl 3.71-3.99
Tl 0.3547 0.3547 0.4473  3 Hg 3.11-3.18, 1 Tl 3.27
Tl 0.4927 0.4927 0.1157  1 Tl 3.01, 1 Hg 3.04
Tl 0.5073 0.5073 0.8843  1 Tl 3.01, 1 Hg 3.04
Tl 0.6453 0.6453 0.5527  3 Hg 3.11-3.18, 1 Tl 3.27
Hg 0.2743 0.2743 0.6516  4 Tl 3.04-3.18
Hg 0.7257 0.7257 0.3484  4 Tl 3.04-3.18

Output
space-group type	C2/m, No. 12

<two>
Here is a relaxed K2Tl2Hg crystal from the Alexandria database. Energies are from GGA-PBE.

Cell: 4.4824 4.4824 20.2947 Å, 90.00 90.00 90.00°
With the nearest neighbours (Å) after each atom.
Sites, in units of the cell vectors:
K 0.0000 0.0000 0.0994  4 Hg 3.76, 4 Tl 3.79, 1 K 4.03
K 0.0000 0.0000 0.9006  4 Hg 3.76, 4 Tl 3.79, 1 K 4.03
K 0.5000 0.5000 0.4006  4 Hg 3.76, 4 Tl 3.79, 1 K 4.03
K 0.5000 0.5000 0.5994  4 Hg 3.76, 4 Tl 3.79, 1 K 4.03
Tl 0.0000 0.5000 0.2500  4 Tl 3.17
Tl 0.0000 0.5000 0.7500  4 Tl 3.17
Tl 0.5000 0.0000 0.2500  4 Tl 3.17
Tl 0.5000 0.0000 0.7500  4 Tl 3.17
Hg 0.0000 0.0000 0.5000  8 K 3.76
Hg 0.5000 0.5000 0.0000  8 K 3.76

Output
space-group type	I4/mmm, No. 139

<three>
Here is a relaxed K2Tl2Hg crystal from the Alexandria database. Energies are from GGA-PBE.

Cell: 4.9660 4.9660 16.3112 Å, 90.00 90.00 90.00°
With the nearest neighbours (Å) after each atom.
Sites, in units of the cell vectors:
K 0.0000 0.5000 0.2500  4 K 3.51, 4 Tl 3.60
K 0.0000 0.5000 0.7500  4 K 3.51, 4 Tl 3.60
K 0.5000 0.0000 0.2500  4 K 3.51, 4 Tl 3.60
K 0.5000 0.0000 0.7500  4 K 3.51, 4 Tl 3.60
Tl 0.0000 0.0000 0.0900  1 Tl 2.94
Tl 0.0000 0.0000 0.9100  1 Tl 2.94
Tl 0.5000 0.5000 0.4100  1 Tl 2.94
Tl 0.5000 0.5000 0.5900  1 Tl 2.94
Hg 0.0000 0.0000 0.5000  8 Tl 3.81
Hg 0.5000 0.5000 0.0000  8 Tl 3.81

Output
space-group type	I4/mmm, No. 139

The least stable of them is <three>.